--- i ---
The following is a DFT calculation (GGA-PBE) of a geometry-optimized La3Ho2Cd3 structure.

a = 8.9056 Å, b = 8.9056 Å, c = 3.3960 Å
α = 90.00°, β = 90.00°, γ = 120.00°
Element x y z (fractional)
La1 0.0000 0.7633 0.0000
La2 0.2367 0.2367 0.0000
La3 0.7633 0.0000 0.0000
Ho1 0.3333 0.6667 0.0000
Ho2 0.6667 0.3333 0.0000
Cd1 0.0000 0.3988 0.5000
Cd2 0.3988 0.0000 0.5000
Cd3 0.6012 0.6012 0.5000

***

--- ii ---
The following is a DFT calculation (GGA-PBE) of a geometry-optimized La3Ho2Cd3 structure.

a = 3.7977 Å, b = 5.6211 Å, c = 22.8760 Å
α = 90.00°, β = 90.00°, γ = 90.00°
Element x y z (fractional)
La1 0.0000 0.0000 0.0000
La2 0.0000 0.5000 0.1248
La3 0.0000 0.5000 0.8752
La4 0.5000 0.0000 0.3752
La5 0.5000 0.0000 0.6248
La6 0.5000 0.5000 0.5000
Ho1 0.0000 0.0000 0.2353
Ho2 0.0000 0.0000 0.7647
Ho3 0.5000 0.5000 0.2647
Ho4 0.5000 0.5000 0.7353
Cd1 0.0000 0.0000 0.5000
Cd2 0.0000 0.5000 0.3759
Cd3 0.0000 0.5000 0.6241
Cd4 0.5000 0.0000 0.1241
Cd5 0.5000 0.0000 0.8759
Cd6 0.5000 0.5000 0.0000

***

ii is favored, and the nearest alternative lies 63 meV per atom above it.

***

--- i ---
The following is a DFT calculation (GGA-PBE) of a geometry-optimized LaHoCd4 structure.

a = 5.9878 Å, b = 5.9878 Å, c = 5.9878 Å
α = 60.00°, β = 60.00°, γ = 60.00°
Element x y z (fractional)
La1 0.0000 0.0000 0.0000
Ho1 0.7500 0.7500 0.7500
Cd1 0.3752 0.3752 0.3752
Cd2 0.3752 0.3752 0.8743
Cd3 0.3752 0.8743 0.3752
Cd4 0.8743 0.3752 0.3752

***

--- ii ---
The following is a DFT calculation (GGA-PBE) of a geometry-optimized LaHoCd4 structure.

a = 3.4655 Å, b = 5.0574 Å, c = 8.7735 Å
α = 90.00°, β = 90.00°, γ = 90.00°
Element x y z (fractional)
La1 0.0000 0.0000 0.0000
Ho1 0.0000 0.5000 0.5000
Cd1 0.5000 0.0000 0.3391
Cd2 0.5000 0.0000 0.6609
Cd3 0.5000 0.5000 0.1744
Cd4 0.5000 0.5000 0.8256

***

ii is favored, and the nearest alternative lies 48 meV per atom above it.

***

--- i ---
The following is a DFT calculation (GGA-PBE) of a geometry-optimized La2HoCd structure.

a = 7.9819 Å, b = 7.9819 Å, c = 7.9819 Å
α = 90.00°, β = 90.00°, γ = 90.00°
Element x y z (fractional)
La1 0.2500 0.2500 0.2500
La2 0.2500 0.2500 0.7500
La3 0.2500 0.7500 0.2500
La4 0.2500 0.7500 0.7500
La5 0.7500 0.2500 0.2500
La6 0.7500 0.2500 0.7500
La7 0.7500 0.7500 0.2500
La8 0.7500 0.7500 0.7500
Ho1 0.0000 0.0000 0.0000
Ho2 0.0000 0.5000 0.5000
Ho3 0.5000 0.0000 0.5000
Ho4 0.5000 0.5000 0.0000
Cd1 0.0000 0.0000 0.5000
Cd2 0.0000 0.5000 0.0000
Cd3 0.5000 0.0000 0.0000
Cd4 0.5000 0.5000 0.5000

***

--- ii ---
The following is a DFT calculation (GGA-PBE) of a geometry-optimized La2HoCd structure.

a = 3.6061 Å, b = 3.5271 Å, c = 20.3228 Å
α = 90.00°, β = 90.00°, γ = 90.00°
Element x y z (fractional)
La1 0.0000 0.0000 0.0000
La2 0.0000 0.5000 0.5000
La3 0.5000 0.0000 0.3604
La4 0.5000 0.5000 0.8604
Ho1 0.0000 0.0000 0.2116
Ho2 0.0000 0.5000 0.7116
Cd1 0.5000 0.0000 0.6144
Cd2 0.5000 0.5000 0.1144

***

i is favored, and the nearest alternative lies 45 meV per atom above it.

***

--- i ---
The following is a DFT calculation (GGA-PBE) of a geometry-optimized La2HoCd structure.

a = 3.6853 Å, b = 3.6853 Å, c = 33.5746 Å
α = 90.00°, β = 90.00°, γ = 120.00°
Element x y z (fractional)
La1 0.0000 0.0000 0.0000
La2 0.0000 0.0000 0.1732
La3 0.3333 0.6667 0.6667
La4 0.3333 0.6667 0.8399
La5 0.6667 0.3333 0.3333
La6 0.6667 0.3333 0.5065
Ho1 0.0000 0.0000 0.4197
Ho2 0.3333 0.6667 0.0863
Ho3 0.6667 0.3333 0.7530
Cd1 0.0000 0.0000 0.5868
Cd2 0.3333 0.6667 0.2535
Cd3 0.6667 0.3333 0.9202

***

--- ii ---
The following is a DFT calculation (GGA-PBE) of a geometry-optimized La2HoCd structure.

a = 5.3151 Å, b = 5.3151 Å, c = 17.9767 Å
α = 90.00°, β = 90.00°, γ = 90.00°
Element x y z (fractional)
La1 0.0000 0.0000 0.1363
La2 0.0000 0.0000 0.8637
La3 0.0000 0.5000 0.0000
La4 0.0000 0.5000 0.5000
La5 0.5000 0.0000 0.0000
La6 0.5000 0.0000 0.5000
La7 0.5000 0.5000 0.3637
La8 0.5000 0.5000 0.6363
Ho1 0.0000 0.0000 0.3560
Ho2 0.0000 0.0000 0.6440
Ho3 0.5000 0.5000 0.1440
Ho4 0.5000 0.5000 0.8560
Cd1 0.0000 0.5000 0.2500
Cd2 0.0000 0.5000 0.7500
Cd3 0.5000 0.0000 0.2500
Cd4 0.5000 0.0000 0.7500

***

--- iii ---
The following is a DFT calculation (GGA-PBE) of a geometry-optimized La2HoCd structure.

a = 3.7960 Å, b = 3.7960 Å, c = 9.0442 Å
α = 90.00°, β = 90.00°, γ = 90.00°
Element x y z (fractional)
La1 0.0000 0.0000 0.2304
La2 0.0000 0.0000 0.7696
Ho1 0.5000 0.5000 0.5000
Cd1 0.5000 0.5000 0.0000

***

ii is favored, and the nearest alternative lies 23 meV per atom above it.

***

--- i ---
The following is a DFT calculation (GGA-PBE) of a geometry-optimized La8Ho2Cd structure.

a = 9.6399 Å, b = 9.6399 Å, c = 8.1921 Å
α = 104.79°, β = 104.79°, γ = 30.85°
Element x y z (fractional)
La1 0.0454 0.0454 0.2282
La2 0.1375 0.1375 0.6805
La3 0.3230 0.3230 0.5897
La4 0.4079 0.4079 0.0481
La5 0.5921 0.5921 0.9519
La6 0.6770 0.6770 0.4103
La7 0.8625 0.8625 0.3195
La8 0.9546 0.9546 0.7718
Ho1 0.2265 0.2265 0.1348
Ho2 0.7735 0.7735 0.8652
Cd1 0.5000 0.5000 0.5000

***

--- ii ---
The following is a DFT calculation (GGA-PBE) of a geometry-optimized La8Ho2Cd structure.

a = 9.7489 Å, b = 9.7489 Å, c = 6.1844 Å
α = 103.01°, β = 103.01°, γ = 41.20°
Element x y z (fractional)
La1 0.0342 0.0342 0.2806
La2 0.0780 0.6109 0.0146
La3 0.3891 0.9220 0.9854
La4 0.3996 0.3996 0.4743
La5 0.6004 0.6004 0.5257
La6 0.6109 0.0780 0.0146
La7 0.9220 0.3891 0.9854
La8 0.9658 0.9658 0.7194
Ho1 0.2196 0.2196 0.5377
Ho2 0.7804 0.7804 0.4623
Cd1 0.5000 0.5000 0.0000

***

i is favored, and the nearest alternative lies 75 meV per atom above it.

***

--- i ---
The following is a DFT calculation (GGA-PBE) of a geometry-optimized LaHo2Cd2 structure.

a = 3.7563 Å, b = 5.4830 Å, c = 14.0304 Å
α = 90.00°, β = 97.69°, γ = 90.00°
Element x y z (fractional)
La1 0.1491 0.2500 0.2959
La2 0.8509 0.7500 0.7041
Ho1 0.0472 0.7500 0.0945
Ho2 0.2363 0.7500 0.4726
Ho3 0.7637 0.2500 0.5274
Ho4 0.9528 0.2500 0.9055
Cd1 0.3580 0.2500 0.7168
Cd2 0.4540 0.7500 0.9078
Cd3 0.5460 0.2500 0.0922
Cd4 0.6420 0.7500 0.2832

***

--- ii ---
The following is a DFT calculation (GGA-PBE) of a geometry-optimized LaHo2Cd2 structure.

a = 12.8844 Å, b = 12.8844 Å, c = 12.8844 Å
α = 157.47°, β = 157.47°, γ = 32.07°
Element x y z (fractional)
La1 0.1237 0.1237 0.0000
La2 0.8763 0.8763 0.0000
Ho1 0.2500 0.7500 0.5000
Ho2 0.4293 0.4293 0.0000
Ho3 0.5707 0.5707 0.0000
Ho4 0.7500 0.2500 0.5000
Cd1 0.0000 0.5000 0.5000
Cd2 0.3162 0.3162 0.0000
Cd3 0.5000 0.0000 0.5000
Cd4 0.6838 0.6838 0.0000

***

i is favored, and the nearest alternative lies 203 meV per atom above it.

***

--- i ---
The following is a DFT calculation (GGA-PBE) of a geometry-optimized La4HoCd structure.

a = 5.6600 Å, b = 6.8551 Å, c = 10.5446 Å
α = 108.91°, β = 90.01°, γ = 90.01°
Element x y z (fractional)
La1 0.2493 0.0252 0.0830
La2 0.2497 0.1842 0.4184
La3 0.2504 0.7329 0.4184
La4 0.2509 0.5577 0.0828
La5 0.7491 0.4423 0.9172
La6 0.7496 0.2671 0.5816
La7 0.7503 0.8158 0.5816
La8 0.7507 0.9748 0.9170
Ho1 0.2500 0.6236 0.7470
Ho2 0.7500 0.3764 0.2530
Cd1 0.2499 0.1244 0.7487
Cd2 0.7501 0.8756 0.2513

***

--- ii ---
The following is a DFT calculation (GGA-PBE) of a geometry-optimized La4HoCd structure.

a = 3.7564 Å, b = 3.7564 Å, c = 14.3323 Å
α = 90.00°, β = 90.00°, γ = 90.00°
Element x y z (fractional)
La1 0.0000 0.0000 0.1493
La2 0.0000 0.0000 0.8507
La3 0.5000 0.5000 0.3277
La4 0.5000 0.5000 0.6723
Ho1 0.0000 0.0000 0.5000
Cd1 0.5000 0.5000 0.0000

***

ii is favored, and the nearest alternative lies 97 meV per atom above it.

***

--- i ---
The following is a DFT calculation (GGA-PBE) of a geometry-optimized LaHoCdRu structure.

a = 3.5172 Å, b = 3.5172 Å, c = 7.9263 Å
α = 90.00°, β = 90.00°, γ = 90.00°
Element x y z (fractional)
La1 0.0000 0.0000 0.0000
Ho1 0.0000 0.0000 0.5698
Cd1 0.5000 0.5000 0.3077
Ru1 0.5000 0.5000 0.7687

***

--- ii ---
The following is a DFT calculation (GGA-PBE) of a geometry-optimized LaHoCdRu structure.

a = 7.2871 Å, b = 7.2871 Å, c = 7.2871 Å
α = 90.00°, β = 90.00°, γ = 90.00°
Element x y z (fractional)
La1 0.0000 0.0000 0.0000
La2 0.0000 0.5000 0.5000
La3 0.5000 0.0000 0.5000
La4 0.5000 0.5000 0.0000
Ho1 0.0000 0.0000 0.5000
Ho2 0.0000 0.5000 0.0000
Ho3 0.5000 0.0000 0.0000
Ho4 0.5000 0.5000 0.5000
Cd1 0.2500 0.2500 0.7500
Cd2 0.2500 0.7500 0.2500
Cd3 0.7500 0.2500 0.2500
Cd4 0.7500 0.7500 0.7500
Ru1 0.2500 0.2500 0.2500
Ru2 0.2500 0.7500 0.7500
Ru3 0.7500 0.2500 0.7500
Ru4 0.7500 0.7500 0.2500

***

i is favored, and the nearest alternative lies 114 meV per atom above it.

***

--- i ---
The following is a DFT calculation (GGA-PBE) of a geometry-optimized LaSmHoCd structure.

a = 3.7027 Å, b = 3.7027 Å, c = 8.9613 Å
α = 90.00°, β = 90.00°, γ = 90.00°
Element x y z (fractional)
La1 0.0000 0.0000 0.0000
Sm1 0.5000 0.5000 0.7150
Ho1 0.5000 0.5000 0.2772
Cd1 0.0000 0.0000 0.4866

***

--- ii ---
The following is a DFT calculation (GGA-PBE) of a geometry-optimized LaSmHoCd structure.

a = 7.8871 Å, b = 7.8871 Å, c = 7.8871 Å
α = 90.00°, β = 90.00°, γ = 90.00°
Element x y z (fractional)
La1 0.0000 0.0000 0.0000
La2 0.0000 0.5000 0.5000
La3 0.5000 0.0000 0.5000
La4 0.5000 0.5000 0.0000
Sm1 0.0000 0.0000 0.5000
Sm2 0.0000 0.5000 0.0000
Sm3 0.5000 0.0000 0.0000
Sm4 0.5000 0.5000 0.5000
Ho1 0.2500 0.2500 0.7500
Ho2 0.2500 0.7500 0.2500
Ho3 0.7500 0.2500 0.2500
Ho4 0.7500 0.7500 0.7500
Cd1 0.2500 0.2500 0.2500
Cd2 0.2500 0.7500 0.7500
Cd3 0.7500 0.2500 0.7500
Cd4 0.7500 0.7500 0.2500

***

i is favored, and the nearest alternative lies 90 meV per atom above it.

***

--- i ---
The following is a DFT calculation (GGA-PBE) of a geometry-optimized Li2HoCd3 structure.

a = 3.4326 Å, b = 3.4326 Å, c = 10.6247 Å
α = 90.00°, β = 90.00°, γ = 90.00°
Element x y z (fractional)
Li1 0.0000 0.0000 0.1527
Li2 0.0000 0.0000 0.8473
Ho1 0.0000 0.0000 0.5000
Cd1 0.5000 0.5000 0.0000
Cd2 0.5000 0.5000 0.2983
Cd3 0.5000 0.5000 0.7017

***

--- ii ---
The following is a DFT calculation (GGA-PBE) of a geometry-optimized Li2HoCd3 structure.

a = 4.7353 Å, b = 4.7353 Å, c = 13.2591 Å
α = 90.00°, β = 90.00°, γ = 120.00°
Element x y z (fractional)
Li1 0.3333 0.6667 0.0790
Li2 0.3333 0.6667 0.4210
Li3 0.6667 0.3333 0.5790
Li4 0.6667 0.3333 0.9210
Ho1 0.0000 0.0000 0.2500
Ho2 0.0000 0.0000 0.7500
Cd1 0.0000 0.0000 0.0000
Cd2 0.0000 0.0000 0.5000
Cd3 0.3333 0.6667 0.6307
Cd4 0.3333 0.6667 0.8693
Cd5 0.6667 0.3333 0.1307
Cd6 0.6667 0.3333 0.3693

***

i is favored, and the nearest alternative lies 37 meV per atom above it.

***

--- i ---
The following is a DFT calculation (GGA-PBE) of a geometry-optimized Li2HoCd structure.

a = 4.4852 Å, b = 4.4852 Å, c = 4.6514 Å
α = 90.00°, β = 90.00°, γ = 90.00°
Element x y z (fractional)
Li1 0.0000 0.5000 0.0000
Li2 0.5000 0.0000 0.0000
Ho1 0.0000 0.0000 0.5000
Cd1 0.5000 0.5000 0.5000

***

--- ii ---
The following is a DFT calculation (GGA-PBE) of a geometry-optimized Li2HoCd structure.

a = 3.2901 Å, b = 3.2901 Å, c = 29.9642 Å
α = 90.00°, β = 90.00°, γ = 120.00°
Element x y z (fractional)
Li1 0.0000 0.0000 0.0000
Li2 0.0000 0.0000 0.1840
Li3 0.3333 0.6667 0.6667
Li4 0.3333 0.6667 0.8507
Li5 0.6667 0.3333 0.3333
Li6 0.6667 0.3333 0.5173
Ho1 0.0000 0.0000 0.7590
Ho2 0.3333 0.6667 0.4256
Ho3 0.6667 0.3333 0.0923
Cd1 0.0000 0.0000 0.5920
Cd2 0.3333 0.6667 0.2587
Cd3 0.6667 0.3333 0.9253

***

--- iii ---
The following is a DFT calculation (GGA-PBE) of a geometry-optimized Li2HoCd structure.

a = 6.8865 Å, b = 6.8865 Å, c = 6.8865 Å
α = 90.00°, β = 90.00°, γ = 90.00°
Element x y z (fractional)
Li1 0.2500 0.2500 0.2500
Li2 0.2500 0.2500 0.7500
Li3 0.2500 0.7500 0.2500
Li4 0.2500 0.7500 0.7500
Li5 0.7500 0.2500 0.2500
Li6 0.7500 0.2500 0.7500
Li7 0.7500 0.7500 0.2500
Li8 0.7500 0.7500 0.7500
Ho1 0.0000 0.0000 0.0000
Ho2 0.0000 0.5000 0.5000
Ho3 0.5000 0.0000 0.5000
Ho4 0.5000 0.5000 0.0000
Cd1 0.0000 0.0000 0.5000
Cd2 0.0000 0.5000 0.0000
Cd3 0.5000 0.0000 0.0000
Cd4 0.5000 0.5000 0.5000

***

--- iv ---
The following is a DFT calculation (GGA-PBE) of a geometry-optimized Li2HoCd structure.

a = 3.5296 Å, b = 3.5296 Å, c = 6.9703 Å
α = 90.00°, β = 90.00°, γ = 90.00°
Element x y z (fractional)
Li1 0.0000 0.0000 0.2030
Li2 0.0000 0.0000 0.7970
Ho1 0.5000 0.5000 0.5000
Cd1 0.5000 0.5000 0.0000

***

iii is favored, and the nearest alternative lies 26 meV per atom above it.